# GGA-PBE Tb2Sm3Dy6, relaxed
data_Tb2Sm3Dy6
_chemical_formula_sum 'Tb4 Sm6 Dy12'
_space_group_name_H-M_alt 'I 4/m m m'
_space_group_IT_number 139
_space_group_name_Hall '-I 4 2'
_cell_length_a 4.7434
_cell_length_b 4.7434
_cell_length_c 33.2410
_cell_angle_alpha 90.00
_cell_angle_beta 90.00
_cell_angle_gamma 90.00
loop_
_atom_site_label
_atom_site_fract_x
_atom_site_fract_y
_atom_site_fract_z
Tb1 0.0000 0.0000 0.0459
Sm1 0.0000 0.0000 0.2984
Sm2 0.0000 0.0000 0.5000
Dy1 0.0000 0.0000 0.1950
Dy2 0.0000 0.5000 0.1208
# * size of the total moment: 0.00 μB/f.u.
# * offset from the most stable computed form: 153.0 meV/atom
# * VASP energy: -4.364 eV per atom
# * energy relative to the elements: 275 meV/atom